! TlRuSe2 PBE relaxed; values from VASP
! - N(E_F): 4.9 states/eV per cell
! - SG: P4/mmm (123)
! - Energy above the most stable polymorph in this dataset: 749 meV per atom
! - Volume: 80 Å³/cell
! - Uncorrected formation energy: 2.204 eV per formula unit
! - Crystal system: tetragonal
&SYSTEM
  ibrav = 0, nat = 4, ntyp = 3
/
ATOMIC_SPECIES
Ru 101.07 Ru.upf
Se 78.96 Se.upf
Tl 204.38 Tl.upf
CELL_PARAMETERS angstrom
4.967 0.000 0.000
0.000 4.967 0.000
0.000 0.000 3.231
ATOMIC_POSITIONS crystal
Ru 0.000 0.500 0.500
Se 0.000 0.000 0.000
Se 0.500 0.500 0.000
Tl 0.500 0.000 0.500